This record from Alexandria describes a relaxed DyZn2Ga4 crystal. The functional is PBE.

The structure in CIF format:
```
data_DyZn2Ga4
_symmetry_space_group_name_H-M 'F m m m'
_symmetry_Int_Tables_number 69
_symmetry_space_group_name_Hall '-F 2 2'
_cell_length_a 7.8529
_cell_length_b 7.8599
_cell_length_c 9.7922
_cell_angle_alpha 90.00
_cell_angle_beta 90.00
_cell_angle_gamma 90.00
loop_
_atom_site_label
_atom_site_type_symbol
_atom_site_fract_x
_atom_site_fract_y
_atom_site_fract_z
Dy1 Dy 0.0000 0.0000 0.0000
Zn1 Zn 0.0000 0.0000 0.3559
Ga1 Ga 0.2500 0.2500 0.0000
Ga2 Ga 0.2500 0.2500 0.2500
```

Summary:
Calculated volume = 151.1 Å³/f.u.
D(E_F) = 4.045 states/eV/f.u.
Crystal system = orthorhombic
DFT total energy = -0.19389 Ry per atom
Energy of formation = 2.61 kcal/mol of atoms
Total magnetization = 0.0 μB per formula unit

This record from Alexandria describes a relaxed Dy2Zn3Ga4 crystal. The functional is PBE.

The structure in CIF format:
```
data_Dy2Zn3Ga4
_symmetry_space_group_name_H-M 'C m c e'
_symmetry_Int_Tables_number 64
_symmetry_space_group_name_Hall '-C 2ac 2'
_cell_length_a 5.7365
_cell_length_b 15.1493
_cell_length_c 7.7097
_cell_angle_alpha 90.00
_cell_angle_beta 90.00
_cell_angle_gamma 90.00
loop_
_atom_site_label
_atom_site_type_symbol
_atom_site_fract_x
_atom_site_fract_y
_atom_site_fract_z
Dy1 Dy 0.0000 0.1079 0.0960
Zn1 Zn 0.0000 0.0000 0.5000
Zn2 Zn 0.2500 0.2296 0.7500
Ga1 Ga 0.0000 0.1750 0.4787
Ga2 Ga 0.2500 0.0599 0.7500
```

Summary:
Calculated volume = 167.5 Å³/f.u.
D(E_F) = 3.511 states/eV/f.u.
Crystal system = orthorhombic
DFT total energy = -0.23555 Ry per atom
Energy of formation = -9.50 kcal/mol of atoms
Total magnetization = 0.0 μB per formula unit

This record from Alexandria describes a relaxed Dy8Zn2Ga crystal. The functional is PBE.

The structure in CIF format:
```
data_Dy8Zn2Ga
_symmetry_space_group_name_H-M 'C 1 2/m 1'
_symmetry_Int_Tables_number 12
_symmetry_space_group_name_Hall '-C 2y'
_cell_length_a 17.7126
_cell_length_b 5.0836
_cell_length_c 6.9090
_cell_angle_alpha 90.00
_cell_angle_beta 107.35
_cell_angle_gamma 90.00
loop_
_atom_site_label
_atom_site_type_symbol
_atom_site_fract_x
_atom_site_fract_y
_atom_site_fract_z
Dy1 Dy 0.0264 0.0000 0.2750
Dy2 Dy 0.0919 0.5000 0.9594
Dy3 Dy 0.1682 0.5000 0.4751
Dy4 Dy 0.1983 0.0000 0.8157
Zn1 Zn 0.1830 0.0000 0.2150
Ga1 Ga 0.0000 0.5000 0.5000
```

Summary:
Calculated volume = 296.9 Å³/f.u.
D(E_F) = 9.662 states/eV/f.u.
Crystal system = monoclinic
DFT total energy = -0.29791 Ry per atom
Energy of formation = -4.60 kcal/mol of atoms
Total magnetization = 0.0 μB per formula unit

This record from Alexandria describes a relaxed Dy4ZnGa3 crystal. The functional is PBE.

The structure in CIF format:
```
data_Dy4ZnGa3
_symmetry_space_group_name_H-M 'P m m 2'
_symmetry_Int_Tables_number 25
_symmetry_space_group_name_Hall 'P 2 -2'
_cell_length_a 4.1444
_cell_length_b 4.2126
_cell_length_c 10.9838
_cell_angle_alpha 90.00
_cell_angle_beta 90.00
_cell_angle_gamma 90.00
loop_
_atom_site_label
_atom_site_type_symbol
_atom_site_fract_x
_atom_site_fract_y
_atom_site_fract_z
Dy1 Dy 0.0000 0.0000 0.0000
Dy2 Dy 0.0000 0.5000 0.4982
Dy3 Dy 0.5000 0.0000 0.2820
Dy4 Dy 0.5000 0.5000 0.7832
Zn1 Zn 0.5000 0.0000 0.5671
Ga1 Ga 0.0000 0.0000 0.7193
Ga2 Ga 0.0000 0.5000 0.2155
Ga3 Ga 0.5000 0.5000 0.0668
```

Summary:
Calculated volume = 191.8 Å³/f.u.
D(E_F) = 7.852 states/eV/f.u.
Crystal system = orthorhombic
DFT total energy = -0.30325 Ry per atom
Energy of formation = -12.24 kcal/mol of atoms
Total magnetization = 0.0 μB per formula unit

This record from Alexandria describes a relaxed Dy12ZnGa6 crystal. The functional is PBE.

The structure in CIF format:
```
data_Dy12ZnGa6
_symmetry_space_group_name_H-M 'R -3'
_symmetry_Int_Tables_number 148
_symmetry_space_group_name_Hall '-R 3'
_cell_length_a 13.0526
_cell_length_b 13.0526
_cell_length_c 11.6514
_cell_angle_alpha 90.00
_cell_angle_beta 90.00
_cell_angle_gamma 120.00
loop_
_atom_site_label
_atom_site_type_symbol
_atom_site_fract_x
_atom_site_fract_y
_atom_site_fract_z
Dy1 Dy 0.0343 0.2096 0.3879
Dy2 Dy 0.0418 0.2122 0.8897
Zn1 Zn 0.0000 0.0000 0.0000
Ga1 Ga 0.0459 0.2606 0.6476
```

Summary:
Calculated volume = 573.0 Å³/f.u.
D(E_F) = 23.882 states/eV/f.u.
Crystal system = trigonal
DFT total energy = -0.29990 Ry per atom
Energy of formation = -3.48 kcal/mol of atoms
Total magnetization = 0.0 μB per formula unit

This record from Alexandria describes a relaxed Dy5Zn2Ga5 crystal. The functional is PBE.

The structure in CIF format:
```
data_Dy5Zn2Ga5
_symmetry_space_group_name_H-M 'C 1 2/m 1'
_symmetry_Int_Tables_number 12
_symmetry_space_group_name_Hall '-C 2y'
_cell_length_a 15.6334
_cell_length_b 4.4550
_cell_length_c 9.3678
_cell_angle_alpha 90.00
_cell_angle_beta 126.78
_cell_angle_gamma 90.00
loop_
_atom_site_label
_atom_site_type_symbol
_atom_site_fract_x
_atom_site_fract_y
_atom_site_fract_z
Dy1 Dy 0.0000 0.0000 0.0000
Dy2 Dy 0.1425 0.0000 0.4525
Dy3 Dy 0.1431 0.0000 0.8329
Zn1 Zn 0.1601 0.5000 0.1611
Ga1 Ga 0.9995 0.5000 0.2061
Ga2 Ga 0.0000 0.5000 0.5000
Ga3 Ga 0.2359 0.5000 0.7357
```

Summary:
Calculated volume = 261.3 Å³/f.u.
D(E_F) = 4.979 states/eV/f.u.
Crystal system = monoclinic
DFT total energy = -0.28872 Ry per atom
Energy of formation = -12.39 kcal/mol of atoms
Total magnetization = 0.0 μB per formula unit

This record from Alexandria describes a relaxed Dy2Zn3Ga crystal. The functional is PBE.

The structure in CIF format:
```
data_Dy2Zn3Ga
_symmetry_space_group_name_H-M 'P m m 2'
_symmetry_Int_Tables_number 25
_symmetry_space_group_name_Hall 'P 2 -2'
_cell_length_a 3.5343
_cell_length_b 4.4599
_cell_length_c 7.7026
_cell_angle_alpha 90.00
_cell_angle_beta 90.00
_cell_angle_gamma 90.00
loop_
_atom_site_label
_atom_site_type_symbol
_atom_site_fract_x
_atom_site_fract_y
_atom_site_fract_z
Dy1 Dy 0.0000 0.0000 0.0000
Dy2 Dy 0.0000 0.5000 0.4993
Zn1 Zn 0.5000 0.0000 0.6698
Zn2 Zn 0.5000 0.5000 0.1631
Zn3 Zn 0.5000 0.5000 0.8307
Ga1 Ga 0.5000 0.0000 0.3341
```

Summary:
Calculated volume = 121.4 Å³/f.u.
D(E_F) = 4.203 states/eV/f.u.
Crystal system = orthorhombic
DFT total energy = -0.23103 Ry per atom
Energy of formation = -10.79 kcal/mol of atoms
Total magnetization = 0.0 μB per formula unit

This record from Alexandria describes a relaxed DyZn3Ga3 crystal. The functional is PBE.

The structure in CIF format:
```
data_DyZn3Ga3
_symmetry_space_group_name_H-M 'P m -3 n'
_symmetry_Int_Tables_number 223
_symmetry_space_group_name_Hall '-P 4n 2 3'
_cell_length_a 6.8488
_cell_length_b 6.8488
_cell_length_c 6.8488
_cell_angle_alpha 90.00
_cell_angle_beta 90.00
_cell_angle_gamma 90.00
loop_
_atom_site_label
_atom_site_type_symbol
_atom_site_fract_x
_atom_site_fract_y
_atom_site_fract_z
Dy1 Dy 0.0000 0.0000 0.0000
Zn1 Zn 0.0000 0.2500 0.5000
Ga1 Ga 0.0000 0.5000 0.2500
```

Summary:
Calculated volume = 160.6 Å³/f.u.
D(E_F) = 3.570 states/eV/f.u.
Crystal system = cubic
DFT total energy = -0.16752 Ry per atom
Energy of formation = 5.11 kcal/mol of atoms
Total magnetization = 0.0 μB per formula unit

> Among the records above, which one has the highest calculated volume?

Dy12ZnGa6

> The lowest calculated volume belongs to which entry?

Dy2Zn3Ga